Below is crystalline Ho3SiBi at its relaxed geometry, with properties calculated at the GGA-PBE level.

Cell lengths 7.7736, 7.7736, 12.3507 Å; angles 72.98, 72.98, 58.37 degrees
Last column: nearest neighbours and their distance in Å.
Fractional coordinates of all 20 atoms:
Si  0.2213  0.7787  0.7500  6 Ho 2.81-2.86
Si  0.7787  0.2213  0.2500  6 Ho 2.81-2.86
Si  0.0000  0.5000  0.5000  6 Ho 2.77-2.84
Si  0.5000  0.0000  0.0000  6 Ho 2.77-2.84
Ho  0.1805  0.6872  0.5577  2 Si 2.81-2.82, 1 Bi 3.10
Ho  0.2623  0.3888  0.8738  2 Si 2.84-2.86
Ho  0.6112  0.7377  0.6262  2 Si 2.84-2.86
Ho  0.3128  0.8195  0.9423  2 Si 2.81-2.82, 1 Bi 3.10
Ho  0.3888  0.2623  0.3738  2 Si 2.84-2.86
Ho  0.6872  0.1805  0.0577  2 Si 2.81-2.82, 1 Bi 3.10
Ho  0.0873  0.2024  0.6952  2 Si 2.77-2.81
Ho  0.7976  0.9127  0.8048  2 Si 2.77-2.81
Ho  0.2024  0.0873  0.1952  2 Si 2.77-2.81
Ho  0.7377  0.6112  0.1262  2 Si 2.84-2.86
Ho  0.8195  0.3128  0.4423  2 Si 2.81-2.82, 1 Bi 3.10
Ho  0.9127  0.7976  0.3048  2 Si 2.77-2.81
Bi  0.4973  0.7928  0.3752  7 Ho 3.10-3.37
Bi  0.7928  0.4973  0.8752  7 Ho 3.10-3.37
Bi  0.2072  0.5027  0.1248  7 Ho 3.10-3.37
Bi  0.5027  0.2072  0.6248  7 Ho 3.10-3.37

Results
total magnetization: 0.0 μB/f.u.
uncorrected formation energy: -2.36 eV per formula unit
VASP energy: -5.08 eV/atom